{
  "formula": "YH2N",
  "functional": "PBE",
  "state": "optimized geometry",
  "dos_at_fermi_per_ev_cell": 0.7,
  "e_tot_ev_per_cell": -22.0,
  "cell": [[0.0000, 2.5797, 2.5797], [2.5797, 0.0000, 2.5797], [2.5797, 2.5797, 0.0000]],
  "species": ["Y", "H", "H", "N"],
  "frac_coords": [[0.5000, 0.5000, 0.5000], [0.2500, 0.2500, 0.2500], [0.7500, 0.7500, 0.7500], [0.0000, 0.0000, 0.0000]]
}